Entry 1:
The following is a GGA-PBE calculation of a relaxed Zr2Al3Cu crystal, from the Alexandria database.

The value obtained for the formation energy is 0.102 eV/atom. The value obtained for the magnetic moment is 0.0 Bohr magnetons per cell. The density of states at the Fermi level comes out at 1.0837 states/eV/atom.

The structure belongs to space group P6/mmm (No. 191); the cell edges are 5.3615, 5.3615 and 4.9582 Å and the angles 90.00°, 90.00° and 120.00°. Symmetry generates all atoms from Zr at (0.3333, 0.6667, 0.0000), Al at (0.0000, 0.5000, 0.5000) and Cu at (0.0000, 0.0000, 0.0000).

=====

Entry 2:
The following is a GGA-PBE calculation of a relaxed Zr2AlCu crystal, from the Alexandria database.

The value obtained for the formation energy is -0.254 eV/atom. The value obtained for the magnetic moment is 0.0 Bohr magnetons per cell. The density of states at the Fermi level comes out at 0.8969 states/eV/atom.

The structure belongs to space group Cmmm (No. 65); the cell edges are 6.012, 7.717 and 3.192 Å and the angles 90.00°, 90.00° and 90.00°. Symmetry generates all atoms from Zr at (0.250, 0.250, 0.000), Al at (0.000, 0.000, 0.500) and Cu at (0.000, 0.500, 0.500).

=====

Entry 3:
The following is a GGA-PBE calculation of a relaxed Zr5AlCu2 crystal, from the Alexandria database.

The value obtained for the formation energy is -0.207 eV/atom. The value obtained for the magnetic moment is 0.0 Bohr magnetons per cell. The density of states at the Fermi level comes out at 0.7895 states/eV/atom.

The structure belongs to space group I4/mmm (No. 139); the cell edges are 4.345, 4.345 and 16.359 Å and the angles 90.00°, 90.00° and 90.00°. Symmetry generates all atoms from Zr at (0.000, 0.000, 0.000), Zr at (0.000, 0.500, 0.135), Al at (0.000, 0.000, 0.500) and Cu at (0.000, 0.000, 0.252).

=====

Entry 4:
The following is a GGA-PBE calculation of a relaxed Zr2AlCu crystal, from the Alexandria database.

The value obtained for the formation energy is -0.270 eV/atom. The value obtained for the magnetic moment is 0.0 Bohr magnetons per cell. The density of states at the Fermi level comes out at 0.9786 states/eV/atom.

The structure belongs to space group Imm2 (No. 44); the cell edges are 3.196, 4.801 and 9.638 Å and the angles 90.00°, 90.00° and 90.00°. Symmetry generates all atoms from Zr at (0.000, 0.000, 0.000), Zr at (0.000, 0.500, 0.228), Al at (0.000, 0.500, 0.778) and Cu at (0.000, 0.000, 0.478).

=====

Entry 5:
The following is a GGA-PBE calculation of a relaxed ZrAl4Cu2 crystal, from the Alexandria database.

The value obtained for the formation energy is 0.063 eV/atom. The value obtained for the magnetic moment is 0.0 Bohr magnetons per cell. The density of states at the Fermi level comes out at 0.5898 states/eV/atom.

The structure belongs to space group P6_3mc (No. 186); the cell edges are 2.9336, 2.9336 and 31.6130 Å and the angles 90.00°, 90.00° and 120.00°. Symmetry generates all atoms from Zr at (0.0000, 0.0000, 0.0000), Al at (0.0000, 0.0000, 0.1485), Al at (0.0000, 0.0000, 0.4092), Al at (0.3333, 0.6667, 0.0774), Al at (0.3333, 0.6667, 0.2865), Cu at (0.3333, 0.6667, 0.2087) and Cu at (0.3333, 0.6667, 0.8474).

=====

Entry 6:
The following is a GGA-PBE calculation of a relaxed ZrAlCu3 crystal, from the Alexandria database.

The value obtained for the formation energy is 0.380 eV/atom. The value obtained for the magnetic moment is 0.0 Bohr magnetons per cell. The density of states at the Fermi level comes out at 0.9897 states/eV/atom.

The structure belongs to space group Pm-3m (No. 221); the cell edges are 4.394, 4.394 and 4.394 Å and the angles 90.00°, 90.00° and 90.00°. Symmetry generates all atoms from Zr at (0.000, 0.000, 0.000), Al at (0.500, 0.500, 0.500) and Cu at (0.000, 0.500, 0.500).

=====

Entry 7:
The following is a GGA-PBE calculation of a relaxed Zr2AlCu crystal, from the Alexandria database.

The value obtained for the formation energy is -0.263 eV/atom. The value obtained for the magnetic moment is 0.0 Bohr magnetons per cell. The density of states at the Fermi level comes out at 0.7952 states/eV/atom.

The structure belongs to space group Imma (No. 74); the cell edges are 5.654, 8.018 and 6.483 Å and the angles 90.00°, 90.00° and 90.00°. Symmetry generates all atoms from Zr at (0.250, 0.027, 0.250), Al at (0.000, 0.250, 0.545) and Cu at (0.000, 0.250, 0.952).

=====

Entry 8:
The following is a GGA-PBE calculation of a relaxed Zr3AlCu crystal, from the Alexandria database.

The value obtained for the formation energy is 0.364 eV/atom. The value obtained for the magnetic moment is 0.0 Bohr magnetons per cell. The density of states at the Fermi level comes out at 0.4269 states/eV/atom.

The structure belongs to space group Pm-3m (No. 221); the cell edges are 4.885, 4.885 and 4.885 Å and the angles 90.00°, 90.00° and 90.00°. Symmetry generates all atoms from Zr at (0.000, 0.000, 0.500), Al at (0.500, 0.500, 0.500) and Cu at (0.000, 0.000, 0.000).